VASP calculation (PBE) on a relaxed structure of Tb6ErTm2Th3.

Geometry as POSCAR:
```
Tb6ErTm2Th3
1.0
-3.9074 3.8034 2.8676
-2.1375 -4.1410 -4.0299
0.8032 -7.5743 8.9300
Tb Er Th Tm
6 1 3 2
Cartesian
-0.9082 -5.7497 6.3894
-1.6073 -0.6699 3.1105
-1.0171 -3.3191 0.8105
-4.3335 -2.1622 1.3784
-3.6344 -7.2420 4.6572
-4.2245 -4.5928 6.9572
0.0000 0.0000 0.0000
-2.0307 -6.6050 1.5839
-3.2110 -1.3069 6.1838
-2.6208 -3.9559 3.8839
-2.7273 -1.4934 -1.7312
-3.3176 1.1558 0.5689
```

Results
The energy of formation is 28.2 meV per atom. As for the space group: C2/m, No. 12. The density of states at the Fermi level comes out at 1.555 states/eV per atom. The total energy comes out at -63.21 eV/cell.